SrTiH4O2F6 at its PBEsol-relaxed geometry, computed with SCAN.

abc: 5.9382 9.6675 11.6932
angles: 90.00 110.22 90.00
Space group P2_1/c (No. 14)
Unique sites:
Sr 0.2325 0.1762 0.0501 (multiplicity 4)
Ti 0.1324 0.5347 0.2273 (multiplicity 4)
H 0.2194 0.6044 0.6747 (multiplicity 4)
H 0.3005 0.6581 0.5651 (multiplicity 4)
H 0.3124 0.6558 0.9395 (multiplicity 4)
H 0.4627 0.6466 0.0811 (multiplicity 4)
O 0.1991 0.5880 0.5882 (multiplicity 4)
O 0.4262 0.7074 0.0099 (multiplicity 4)
F 0.0030 0.1529 0.1866 (multiplicity 4)
F 0.0057 0.1391 0.4126 (multiplicity 4)
F 0.1510 0.5729 0.8126 (multiplicity 4)
F 0.2688 0.0928 0.6518 (multiplicity 4)
F 0.2779 0.0579 0.8759 (multiplicity 4)
F 0.4112 0.6458 0.2620 (multiplicity 4)

## Properties
- E_tot (eV per atom) = -8.7957
- M_tot (μB per formula unit) = 0.067

---

TiH6O2F6 at its PBEsol-relaxed geometry, computed with SCAN.

abc: 5.4035 5.4035 5.8412
angles: 90.00 90.00 120.00
Space group P321 (No. 150)
Unique sites:
Ti 0.0000 0.0000 0.0000 (multiplicity 1)
H 0.1514 0.6649 0.7212 (multiplicity 6)
O 0.3333 0.6667 0.6678 (multiplicity 2)
F 0.0960 0.7855 0.1968 (multiplicity 6)

## Properties
- E_tot (eV per atom) = -6.7580
- M_tot (μB per formula unit) = 0.002